Material: AlGaTeS2
Method: DFT, PBE
State: optimized geometry

Properties
The calculation puts the magnetization at 0.00 μB per formula unit. As for the space group: P4/mmm. The calculation puts the total energy at -15.41 eV per formula unit. For the volume, the calculation gives 145 Å³/f.u.

Cell: 5.1417 5.1417 5.5017 Å, 90.00 90.00 90.00°
Last column: nearest neighbours and their distance in Å.
Fractional positions:
Al  0.0000  0.0000  0.0000  4 Ga 3.64, 8 S 3.77
Ga  0.5000  0.5000  0.0000  2 Te 2.75
Te  0.5000  0.5000  0.5000  4 S 2.57, 2 Ga 2.75
S  0.0000  0.5000  0.5000  2 Te 2.57
S  0.5000  0.0000  0.5000  2 Te 2.57

Material: Ba2ScIn
Method: DFT, PBE
State: optimized geometry

Properties
The calculation puts the magnetization at 0.00 μB per formula unit. The energy relative to the elements comes out at 0.2966 eV/atom. As for the space group: I-42d. For the volume, the calculation gives 158 Å³/f.u.

Cell: 7.6096 7.6096 7.6096 Å, 101.60 101.60 126.72°
Last column: nearest neighbours and their distance in Å.
Fractional positions:
Ba  0.1088  0.6250  0.9838  2 In 3.40, 2 Ba 3.43, 2 Sc 3.61
Ba  0.3750  0.3588  0.4838  2 In 3.40, 2 Ba 3.43, 2 Sc 3.61
Ba  0.6412  0.1250  0.0162  2 In 3.40, 2 Ba 3.43, 2 Sc 3.61
Ba  0.8750  0.8912  0.5162  2 In 3.40, 2 Ba 3.43, 2 Sc 3.61
Sc  0.2500  0.7500  0.5000  2 In 3.41, 4 Ba 3.61
Sc  0.5000  0.5000  0.0000  2 In 3.41, 4 Ba 3.61
In  0.0000  0.0000  0.0000  4 Ba 3.40, 2 Sc 3.41
In  0.7500  0.2500  0.5000  4 Ba 3.40, 2 Sc 3.41

Material: LaAl2CdCo
Method: DFT, PBE
State: optimized geometry

Properties
The calculation puts the magnetization at 1.39 μB per formula unit. The energy relative to the elements comes out at 0.9239 eV/atom. The energy relative to the lowest polymorph listed for this composition is 1227 meV/atom. As for the space group: P4/mmm. For the volume, the calculation gives 141 Å³/f.u.

Cell: 4.8567 4.8567 5.9971 Å, 90.00 90.00 90.00°
Last column: nearest neighbours and their distance in Å.
Fractional positions:
La  0.0000  0.0000  0.0000  2 Cd 3.00
Al  0.0000  0.5000  0.5000  2 Cd 2.43
Al  0.5000  0.0000  0.5000  2 Cd 2.43
Cd  0.0000  0.0000  0.5000  4 Al 2.43
Co  0.5000  0.5000  0.0000  4 La 3.43

Material: NpH7Rh5
Method: DFT, PBE
State: optimized geometry

Properties
The calculation puts the magnetization at 2.57 μB per formula unit. As for the space group: Cm. The calculation puts the total energy at -74.13 eV per formula unit. For the volume, the calculation gives 121 Å³/f.u.

Cell: 5.1389 5.1389 5.7176 Å, 104.69 104.69 114.61°
Last column: nearest neighbours and their distance in Å.
Fractional positions:
Np  0.0000  0.0000  0.0000  5 H 2.37-2.59
H  0.2451  0.2451  0.7263  3 Rh 1.77-1.86
H  0.3155  0.7033  0.4797  4 Rh 1.83-1.87
H  0.4257  0.7420  0.9563  3 Rh 1.76-1.87
H  0.5251  0.5251  0.2561  3 Rh 1.80-1.92, 1 H 1.88
H  0.7033  0.3155  0.4797  4 Rh 1.83-1.87
H  0.7420  0.4257  0.9563  3 Rh 1.76-1.87
H  0.8999  0.8999  0.3596  2 Rh 1.77, 1 H 1.88
Rh  0.0050  0.4197  0.7956  4 H 1.82-1.87
Rh  0.3820  0.3820  0.5032  4 H 1.77-1.92
Rh  0.4197  0.0050  0.7956  4 H 1.82-1.87
Rh  0.5414  0.8911  0.3013  5 H 1.76-1.87
Rh  0.8911  0.5414  0.3013  5 H 1.76-1.87

Material: Te2Pb3Cl2
Method: DFT, PBE
State: optimized geometry

Properties
The calculation puts the magnetization at 0.00 μB per formula unit. As for the space group: C2/m. The calculation puts the total energy at -25.98 eV per formula unit. For the volume, the calculation gives 261 Å³/f.u.

Cell: 7.9304 7.9304 7.8849 Å, 107.04 107.04 33.59°
Last column: nearest neighbours and their distance in Å.
Fractional positions:
Te  0.1136  0.1136  0.3568  5 Pb 3.13-3.27
Te  0.8864  0.8864  0.6432  5 Pb 3.13-3.27
Pb  0.2598  0.2598  0.7365  3 Cl 3.07-3.22, 3 Te 3.13-3.22
Pb  0.5000  0.5000  0.5000  2 Cl 2.92, 4 Te 3.27
Pb  0.7402  0.7402  0.2635  3 Cl 3.07-3.22, 3 Te 3.13-3.22
Cl  0.3496  0.3496  0.1635  4 Pb 2.92-3.22
Cl  0.6504  0.6504  0.8365  4 Pb 2.92-3.22

Material: Mg3RhC
Method: DFT, PBE
State: optimized geometry

Properties
The calculation puts the magnetization at 1.28 μB per formula unit. The energy relative to the elements comes out at 1.1873 eV/atom. The energy relative to the lowest polymorph listed for this composition is 960 meV/atom. As for the space group: Pm-3m. For the volume, the calculation gives 114 Å³/f.u.

Cell: 4.8536 4.8536 4.8536 Å, 90.00 90.00 90.00°
Last column: nearest neighbours and their distance in Å.
Fractional positions:
Mg  0.0000  0.0000  0.5000  2 Rh 2.43
Mg  0.0000  0.5000  0.0000  2 Rh 2.43
Mg  0.5000  0.0000  0.0000  2 Rh 2.43
Rh  0.0000  0.0000  0.0000  6 Mg 2.43
C  0.5000  0.5000  0.5000  12 Mg 3.43

Material: LiCeNp2Se4
Method: DFT, PBE
State: optimized geometry

Properties
The calculation puts the magnetization at 10.11 μB per formula unit. As for the space group: P2/m. The calculation puts the total energy at -58.30 eV per formula unit. For the volume, the calculation gives 198 Å³/f.u.

Cell: 7.1098 4.1236 7.1479 Å, 90.00 109.53 90.00°
Last column: nearest neighbours and their distance in Å.
Fractional positions:
Li  0.0000  0.0000  0.0000  6 Se 2.87-2.88
Ce  0.5000  0.5000  0.0000  6 Se 2.94
Np  0.0000  0.5000  0.5000  6 Se 2.88-2.89
Np  0.5000  0.0000  0.5000  6 Se 2.94-2.96
Se  0.2409  0.0000  0.7484  1 Li 2.87, 3 Np 2.88-2.96, 2 Ce 2.94
Se  0.2422  0.5000  0.2465  2 Li 2.88, 3 Np 2.89-2.94, 1 Ce 2.94
Se  0.7578  0.5000  0.7535  2 Li 2.88, 3 Np 2.89-2.94, 1 Ce 2.94
Se  0.7591  0.0000  0.2516  1 Li 2.87, 3 Np 2.88-2.96, 2 Ce 2.94

Material: YAsSe2I
Method: DFT, PBE
State: optimized geometry

Properties
The calculation puts the magnetization at 0.01 μB per formula unit. The energy relative to the lowest polymorph listed for this composition is 0 meV/atom. As for the space group: P4/mmm. For the volume, the calculation gives 169 Å³/f.u.

Cell: 5.3764 5.3764 5.8350 Å, 90.00 90.00 90.00°
Last column: nearest neighbours and their distance in Å.
Fractional positions:
Y  0.0000  0.0000  0.0000  4 Se 2.69, 2 As 2.92
As  0.0000  0.0000  0.5000  2 Y 2.92
Se  0.0000  0.5000  0.0000  2 Y 2.69
Se  0.5000  0.0000  0.0000  2 Y 2.69
I  0.5000  0.5000  0.5000  4 As 3.80, 8 Se 3.97